Density functional theory data (PBE) for a relaxed structure of Pr6Hg2Te3Se.

Unit cell a=4.3756 b=9.1549 c=10.0946 alpha=105.24 beta=102.52 gamma=90.00
With the nearest neighbours (Å) after each atom.
Fractional positions:
Pr (0.3388, 0.9116, 0.6775)  1 Se 3.06, 3 Te 3.17-3.29, 2 Hg 3.17
Pr (0.6646, 0.5902, 0.3291)  3 Te 3.12-3.17, 3 Hg 3.16-3.17
Pr (0.6612, 0.0884, 0.3225)  1 Se 3.06, 3 Te 3.17-3.29, 2 Hg 3.17
Pr (0.0013, 0.2361, 0.0026)  2 Se 3.07, 3 Te 3.18-3.26, 1 Hg 3.20
Pr (0.9987, 0.7639, 0.9974)  2 Se 3.07, 3 Te 3.18-3.26, 1 Hg 3.20
Pr (0.3354, 0.4098, 0.6709)  3 Te 3.12-3.17, 3 Hg 3.16-3.17
Hg (0.8303, 0.6569, 0.6607)  6 Pr 3.16-3.20
Hg (0.1697, 0.3431, 0.3393)  6 Pr 3.16-3.20
Te (0.5000, 0.5000, 0.0000)  6 Pr 3.12-3.26
Te (0.8338, 0.1588, 0.6675)  6 Pr 3.17-3.29
Te (0.1662, 0.8412, 0.3325)  6 Pr 3.17-3.29
Se (0.5000, 0.0000, 0.0000)  6 Pr 3.06-3.07

Energy (eV/atom): -4.6889
Space-group type: C2/m, No. 12
Density of states at the Fermi level (states/eV/atom): 0.7055
Total magnetization (μB/f.u.): 0.000